(1)
! Nd2Ni3Ge5 | the Open Quantum Materials Database | PBE | optimized geometry; values from VASP
&SYSTEM
  ibrav = 0, nat = 20, ntyp = 3
/
ATOMIC_SPECIES
Ge 72.64 Ge.upf
Nd 144.24 Nd.upf
Ni 58.69 Ni.upf
ATOMIC_POSITIONS crystal
Ge 0.515 0.750 0.765
Ge 0.750 0.250 0.500
Ge 0.985 0.750 0.235
Nd 0.367 0.763 0.130
Ni 0.250 0.250 0.000
Ni 0.865 0.391 0.256
Ni 0.365 0.109 0.474
Ge 0.101 0.845 0.947
Ni 0.135 0.609 0.744
Nd 0.867 0.737 0.604
Nd 0.633 0.237 0.870
Ge 0.015 0.250 0.765
Ge 0.899 0.155 0.053
Ge 0.399 0.345 0.744
Nd 0.133 0.263 0.396
Ni 0.750 0.750 0.000
Ni 0.635 0.891 0.526
Ge 0.601 0.655 0.256
Ge 0.250 0.750 0.500
Ge 0.485 0.250 0.235
CELL_PARAMETERS angstrom
4.153 -7.098 -0.774
0.837 7.132 4.082
-6.045 -4.203 3.744
! * final energy: -55.99 eV/f.u.

(2)
! Nd3Ni2Ge4Pd2 | the Open Quantum Materials Database | PBE | optimized geometry; values from VASP
&SYSTEM
  ibrav = 0, nat = 11, ntyp = 4
/
ATOMIC_SPECIES
Ni 58.69 Ni.upf
Pd 106.42 Pd.upf
Ge 72.64 Ge.upf
Nd 144.24 Nd.upf
ATOMIC_POSITIONS crystal
Ni 0.405 0.405 0.000
Pd 0.251 0.751 0.500
Ge 0.948 0.448 0.500
Nd 0.500 0.000 0.500
Ge 0.309 0.309 0.000
Ge 0.052 0.552 0.500
Nd 0.855 0.855 0.000
Pd 0.749 0.249 0.500
Ge 0.691 0.691 0.000
Ni 0.595 0.595 0.000
Nd 0.145 0.145 0.000
CELL_PARAMETERS angstrom
-11.501 1.972 4.779
-12.544 -1.278 -0.118
12.263 -2.848 -0.719
! * final energy: -62.95 eV/f.u.

(3)
! PrNdNi2Ge2 | the Open Quantum Materials Database | PBE | optimized geometry; values from VASP
&SYSTEM
  ibrav = 0, nat = 6, ntyp = 4
/
ATOMIC_SPECIES
Ni 58.69 Ni.upf
Pr 140.91 Pr.upf
Nd 144.24 Nd.upf
Ge 72.64 Ge.upf
ATOMIC_POSITIONS crystal
Ni 0.500 0.000 0.001
Pr 0.500 0.500 0.688
Ni 0.000 0.500 0.001
Nd 0.000 0.000 0.309
Ge 0.000 0.000 0.815
Ge 0.500 0.500 0.187
CELL_PARAMETERS angstrom
-4.077 1.111 -0.183
-0.873 -2.687 3.147
1.141 4.933 4.529
! * final energy: -34.04 eV/f.u.

(4)
! PrNd2Ni4Ge4 | the Open Quantum Materials Database | PBE | optimized geometry; values from VASP
&SYSTEM
  ibrav = 0, nat = 11, ntyp = 4
/
ATOMIC_SPECIES
Ge 72.64 Ge.upf
Ni 58.69 Ni.upf
Pr 140.91 Pr.upf
Nd 144.24 Nd.upf
ATOMIC_POSITIONS crystal
Ge 0.199 0.699 0.500
Ni 0.901 0.401 0.500
Ni 0.099 0.599 0.500
Ge 0.446 0.446 0.000
Pr 0.000 0.000 0.000
Ge 0.554 0.554 0.000
Ge 0.801 0.301 0.500
Nd 0.651 0.151 0.500
Nd 0.349 0.849 0.500
Ni 0.249 0.249 0.000
Ni 0.751 0.751 0.000
CELL_PARAMETERS angstrom
-2.072 2.096 11.960
2.072 -2.096 11.960
2.072 2.096 -11.960
! * final energy: -62.93 eV/f.u.

(5)
! Nd2NiGe4Pt | the Open Quantum Materials Database | PBE | optimized geometry; values from VASP
&SYSTEM
  ibrav = 0, nat = 8, ntyp = 4
/
ATOMIC_SPECIES
Ge 72.64 Ge.upf
Nd 144.24 Nd.upf
Pt 195.08 Pt.upf
Ni 58.69 Ni.upf
ATOMIC_POSITIONS crystal
Ge 0.500 0.743 0.743
Ge 0.500 0.465 0.465
Nd 0.000 0.894 0.894
Ge 0.000 0.244 0.244
Ge 0.000 0.543 0.543
Pt 0.500 0.321 0.321
Ni 0.000 0.681 0.681
Nd 0.500 0.109 0.109
CELL_PARAMETERS angstrom
-0.854 -0.400 -4.225
-8.463 -1.232 1.828
-8.096 3.017 1.351
! * final energy: -46.09 eV/f.u.

(6)
! NdSiNi2Ge | the Open Quantum Materials Database | PBE | optimized geometry; values from VASP
&SYSTEM
  ibrav = 0, nat = 5, ntyp = 4
/
ATOMIC_SPECIES
Nd 144.24 Nd.upf
Ge 72.64 Ge.upf
Ni 58.69 Ni.upf
Si 28.09 Si.upf
ATOMIC_POSITIONS crystal
Nd 0.999 0.999 0.000
Ge 0.627 0.627 0.000
Ni 0.754 0.254 0.500
Si 0.365 0.365 0.000
Ni 0.254 0.754 0.500
CELL_PARAMETERS angstrom
-3.267 0.129 4.636
-2.102 4.991 1.687
0.333 -2.994 -4.806
! * final energy: -29.73 eV/f.u.

(7)
! NdSm2Si2Ni4Ge2 | the Open Quantum Materials Database | PBE | optimized geometry; values from VASP
&SYSTEM
  ibrav = 0, nat = 11, ntyp = 5
/
ATOMIC_SPECIES
Ge 72.64 Ge.upf
Ni 58.69 Ni.upf
Nd 144.24 Nd.upf
Si 28.09 Si.upf
Sm 150.36 Sm.upf
ATOMIC_POSITIONS crystal
Ge 0.554 0.554 0.000
Ni 0.897 0.397 0.500
Nd 0.000 0.000 0.000
Si 0.201 0.701 0.500
Sm 0.652 0.152 0.500
Ni 0.249 0.249 0.000
Ni 0.751 0.751 0.000
Si 0.799 0.299 0.500
Sm 0.348 0.848 0.500
Ni 0.103 0.603 0.500
Ge 0.446 0.446 0.000
CELL_PARAMETERS angstrom
-2.033 2.063 11.790
2.033 -2.063 11.790
2.033 2.063 -11.790
! * final energy: -65.16 eV/f.u.

(8)
! NdSm2Ni4Ge4 | the Open Quantum Materials Database | PBE | optimized geometry; values from VASP
&SYSTEM
  ibrav = 0, nat = 11, ntyp = 4
/
ATOMIC_SPECIES
Ni 58.69 Ni.upf
Sm 150.36 Sm.upf
Ge 72.64 Ge.upf
Nd 144.24 Nd.upf
ATOMIC_POSITIONS crystal
Ni 0.901 0.401 0.500
Ni 0.751 0.751 0.000
Sm 0.650 0.150 0.500
Sm 0.350 0.850 0.500
Ge 0.554 0.554 0.000
Nd 0.000 0.000 0.000
Ni 0.249 0.249 0.000
Ge 0.446 0.446 0.000
Ni 0.099 0.599 0.500
Ge 0.802 0.302 0.500
Ge 0.198 0.698 0.500
CELL_PARAMETERS angstrom
11.091 -2.405 4.623
10.758 3.433 4.759
-12.069 -0.689 -2.005
! * final energy: -62.97 eV/f.u.

(9)
! NdSmNi2Ge | the Open Quantum Materials Database | PBE | optimized geometry; values from VASP
&SYSTEM
  ibrav = 0, nat = 5, ntyp = 4
/
ATOMIC_SPECIES
Ge 72.64 Ge.upf
Sm 150.36 Sm.upf
Nd 144.24 Nd.upf
Ni 58.69 Ni.upf
ATOMIC_POSITIONS crystal
Ge 0.000 0.002 0.002
Sm 0.500 0.629 0.629
Nd 0.500 0.372 0.372
Ni 0.000 0.195 0.195
Ni 0.000 0.803 0.803
CELL_PARAMETERS angstrom
-2.624 -2.086 1.696
1.284 3.326 6.078
-1.601 5.428 4.199
! * final energy: -27.83 eV/f.u.

(10)
! Nd2SmNi4Ge4 | the Open Quantum Materials Database | PBE | optimized geometry; values from VASP
&SYSTEM
  ibrav = 0, nat = 11, ntyp = 4
/
ATOMIC_SPECIES
Ge 72.64 Ge.upf
Ni 58.69 Ni.upf
Nd 144.24 Nd.upf
Sm 150.36 Sm.upf
ATOMIC_POSITIONS crystal
Ge 0.199 0.699 0.500
Ni 0.249 0.249 0.000
Ni 0.751 0.751 0.000
Ge 0.553 0.553 0.000
Nd 0.650 0.150 0.500
Sm 0.000 0.000 0.000
Ge 0.801 0.301 0.500
Ni 0.099 0.599 0.500
Nd 0.350 0.850 0.500
Ni 0.901 0.401 0.500
Ge 0.447 0.447 0.000
CELL_PARAMETERS angstrom
-0.759 -12.258 -0.879
-2.673 -11.126 4.548
-1.010 11.926 -2.891
! * final energy: -62.93 eV/f.u.

(11)
! NdNiSnGe | the Open Quantum Materials Database | PBE | optimized geometry; values from VASP
&SYSTEM
  ibrav = 0, nat = 8, ntyp = 4
/
ATOMIC_SPECIES
Ni 58.69 Ni.upf
Ge 72.64 Ge.upf
Sn 118.71 Sn.upf
Nd 144.24 Nd.upf
ATOMIC_POSITIONS crystal
Ni 0.670 0.330 0.250
Ge 0.539 0.461 0.250
Sn 0.250 0.750 0.250
Ge 0.461 0.539 0.750
Nd 0.099 0.901 0.750
Nd 0.901 0.099 0.250
Sn 0.750 0.250 0.750
Ni 0.330 0.670 0.750
CELL_PARAMETERS angstrom
-7.655 4.098 2.706
4.746 -7.317 -2.579
1.053 -0.786 4.168
! * final energy: -21.61 eV/f.u.

(12)
! Tb2NdNi4Ge4 | the Open Quantum Materials Database | PBE | optimized geometry; values from VASP
&SYSTEM
  ibrav = 0, nat = 11, ntyp = 4
/
ATOMIC_SPECIES
Ge 72.64 Ge.upf
Nd 144.24 Nd.upf
Ni 58.69 Ni.upf
Tb 158.93 Tb.upf
ATOMIC_POSITIONS crystal
Ge 0.781 0.781 0.000
Ge 0.310 0.500 0.810
Ge 0.219 0.219 0.000
Nd 0.000 0.000 0.000
Ni 0.625 0.321 0.304
Tb 0.370 0.870 0.500
Ge 0.690 0.500 0.190
Ni 0.983 0.679 0.304
Tb 0.630 0.130 0.500
Ni 0.375 0.679 0.696
Ni 0.017 0.321 0.696
CELL_PARAMETERS angstrom
-0.494 -3.416 7.113
-2.296 4.277 6.240
-1.541 -3.072 -7.120
! * final energy: -62.67 eV/f.u.

(13)
! Nd4TlNi2Ge4 | the Open Quantum Materials Database | PBE | optimized geometry; values from VASP
&SYSTEM
  ibrav = 0, nat = 11, ntyp = 4
/
ATOMIC_SPECIES
Nd 144.24 Nd.upf
Ge 72.64 Ge.upf
Ni 58.69 Ni.upf
Tl 204.38 Tl.upf
ATOMIC_POSITIONS crystal
Nd 0.344 0.344 0.060
Ge 0.065 0.065 0.658
Ni 0.786 0.786 0.352
Nd 0.592 0.592 0.387
Nd 0.656 0.656 0.940
Tl 0.000 0.000 0.000
Ni 0.214 0.214 0.648
Nd 0.408 0.408 0.613
Ge 0.211 0.211 0.291
Ge 0.935 0.935 0.342
Ge 0.789 0.789 0.709
CELL_PARAMETERS angstrom
-1.726 7.687 -2.653
-2.476 7.768 1.623
7.179 -0.385 1.267
! * final energy: -58.94 eV/f.u.

(14)
! NdY2Ni4Ge4 | the Open Quantum Materials Database | PBE | optimized geometry; values from VASP
&SYSTEM
  ibrav = 0, nat = 11, ntyp = 4
/
ATOMIC_SPECIES
Ge 72.64 Ge.upf
Nd 144.24 Nd.upf
Y 88.91 Y.upf
Ni 58.69 Ni.upf
ATOMIC_POSITIONS crystal
Ge 0.781 0.781 0.000
Ge 0.690 0.500 0.190
Nd 0.000 0.000 0.000
Y 0.629 0.129 0.500
Ni 0.017 0.322 0.695
Ge 0.310 0.500 0.810
Y 0.371 0.871 0.500
Ge 0.219 0.219 0.000
Ni 0.983 0.678 0.305
Ni 0.626 0.322 0.305
Ni 0.374 0.678 0.695
CELL_PARAMETERS angstrom
-2.053 3.410 6.805
2.053 -3.410 6.805
2.053 3.410 -6.805
! * final energy: -66.40 eV/f.u.

(15)
! NdNpGe | the Open Quantum Materials Database | PBE | optimized geometry; values from VASP
&SYSTEM
  ibrav = 0, nat = 3, ntyp = 3
/
ATOMIC_SPECIES
Np 237.00 Np.upf
Nd 144.24 Nd.upf
Ge 72.64 Ge.upf
ATOMIC_POSITIONS crystal
Np 0.750 0.750 0.750
Nd 0.250 0.250 0.250
Ge 0.000 0.000 0.000
CELL_PARAMETERS angstrom
0.000 3.463 3.463
3.463 0.000 3.463
3.463 3.463 0.000
! * final energy: -22.06 eV/f.u.

(16)
! NdGe4O9 | the Open Quantum Materials Database | PBE | optimized geometry; values from VASP
&SYSTEM
  ibrav = 0, nat = 14, ntyp = 3
/
ATOMIC_SPECIES
O 16.00 O.upf
Ge 72.64 Ge.upf
Nd 144.24 Nd.upf
ATOMIC_POSITIONS crystal
O 0.768 0.232 0.000
O 0.121 0.467 0.578
O 0.779 0.641 0.507
O 0.359 0.221 0.493
O 0.067 0.713 0.144
O 0.287 0.933 0.856
O 0.583 0.727 0.904
O 0.533 0.879 0.422
Ge 0.311 0.689 0.000
Ge 0.471 0.529 0.500
Ge 0.482 0.075 0.682
Nd 0.994 0.006 0.000
O 0.273 0.417 0.096
Ge 0.925 0.518 0.318
CELL_PARAMETERS angstrom
3.616 -5.628 0.000
3.616 5.628 0.000
-2.093 0.000 4.321
! * final energy: -93.34 eV/f.u.

(17)
! Nd3GeO5 | the Open Quantum Materials Database | PBE | optimized geometry; values from VASP
&SYSTEM
  ibrav = 0, nat = 18, ntyp = 3
/
ATOMIC_SPECIES
Nd 144.24 Nd.upf
O 16.00 O.upf
Ge 72.64 Ge.upf
ATOMIC_POSITIONS crystal
Nd 0.440 0.520 0.994
Nd 0.525 0.745 0.445
Nd 0.013 0.977 0.573
O 0.940 0.215 0.455
O 0.060 0.715 0.545
Nd 0.475 0.245 0.555
Nd 0.560 0.020 0.006
O 0.485 0.478 0.358
O 0.515 0.978 0.642
O 0.081 0.093 0.913
Ge 0.026 0.284 0.989
O 0.644 0.276 0.920
Ge 0.974 0.784 0.011
O 0.833 0.893 0.247
O 0.167 0.393 0.753
O 0.919 0.593 0.087
Nd 0.987 0.477 0.427
O 0.356 0.776 0.080
CELL_PARAMETERS angstrom
4.793 0.000 0.000
0.000 9.272 0.000
-0.184 0.000 6.454
! * final energy: -66.79 eV/f.u.

(18)
! Nd2Ge2O5 | the Open Quantum Materials Database | PBE | optimized geometry; values from VASP
&SYSTEM
  ibrav = 0, nat = 9, ntyp = 3
/
ATOMIC_SPECIES
O 16.00 O.upf
Nd 144.24 Nd.upf
Ge 72.64 Ge.upf
ATOMIC_POSITIONS crystal
O 0.122 0.500 0.000
Nd 0.255 0.500 0.500
Ge 0.500 0.000 0.000
O 0.878 0.000 0.500
Nd 0.745 0.500 0.500
O 0.500 0.500 0.500
O 0.122 0.000 0.500
Ge 0.000 0.000 0.000
O 0.878 0.500 0.000
CELL_PARAMETERS angstrom
9.838 0.000 0.000
0.000 3.679 0.000
0.000 0.000 3.679
! * final energy: -59.14 eV/f.u.

(19)
! Nd2GeO4 | the Open Quantum Materials Database | PBE | optimized geometry; values from VASP
&SYSTEM
  ibrav = 0, nat = 14, ntyp = 3
/
ATOMIC_SPECIES
O 16.00 O.upf
Nd 144.24 Nd.upf
Ge 72.64 Ge.upf
ATOMIC_POSITIONS crystal
O 0.134 0.267 0.401
O 0.151 0.767 0.384
O 0.616 0.767 0.384
O 0.134 0.733 0.866
O 0.599 0.733 0.866
O 0.616 0.233 0.384
O 0.134 0.267 0.866
Nd 0.375 0.750 0.625
Ge 0.000 0.000 0.000
Nd 0.375 0.250 0.625
Nd 0.375 0.750 0.125
Nd 0.875 0.250 0.625
Ge 0.750 0.500 0.250
O 0.616 0.233 0.849
CELL_PARAMETERS angstrom
4.936 -4.938 0.000
-4.936 0.000 -4.938
4.936 4.938 0.000
! * final energy: -51.15 eV/f.u.

(20)
! Nd2Ge2O5 | the Open Quantum Materials Database | PBE | optimized geometry; values from VASP
&SYSTEM
  ibrav = 0, nat = 9, ntyp = 3
/
ATOMIC_SPECIES
Ge 72.64 Ge.upf
O 16.00 O.upf
Nd 144.24 Nd.upf
ATOMIC_POSITIONS crystal
Ge 0.778 0.500 0.500
O 0.239 0.500 0.000
O 0.239 0.000 0.500
O 0.761 0.000 0.500
Ge 0.222 0.500 0.500
O 0.761 0.500 0.000
Nd 0.500 0.000 0.000
Nd 0.000 0.000 0.000
O 0.500 0.500 0.500
CELL_PARAMETERS angstrom
6.889 0.000 0.000
0.000 4.104 0.000
0.000 0.000 4.104
! * final energy: -61.49 eV/f.u.

no.,density (g cm⁻³)
1,7.9
2,8.0
3,7.5
4,7.6
5,8.8
6,7.3
7,7.4
8,7.9
9,7.9
10,7.8
11,7.8
12,8.6
13,8.2
14,7.4
15,9.1
16,5.5
17,6.8
18,6.4
19,5.9
20,7.4